{"formula": "Np2Tl3VTe6", "functional": "GGA-PBE", "state": "optimized geometry", "cell": [[7.506, 0.001, -0.003], [-3.750, 6.502, -0.003], [-1.253, -2.170, 8.213]], "species": ["Np", "Np", "Tl", "Tl", "Tl", "V", "Te", "Te", "Te", "Te", "Te", "Te"], "frac_coords": [[0.335, 0.665, 0.000], [0.665, 0.335, 0.000], [0.175, 0.825, 0.500], [0.825, 0.175, 0.500], [0.500, 0.500, 0.500], [0.000, 0.000, 0.000], [0.932, 0.620, 0.796], [0.758, 0.758, 0.211], [0.068, 0.380, 0.204], [0.620, 0.932, 0.796], [0.242, 0.242, 0.789], [0.380, 0.068, 0.204]], "formation_energy_uncorrected_ev_per_atom": -0.46, "final_energy_ev_per_cell": -66.5}

{"formula": "NpTl3V2Te6", "functional": "GGA-PBE", "state": "optimized geometry", "cell": [[7.172, -0.148, -0.389], [-3.712, 6.138, -0.389], [-1.773, -3.069, 9.063]], "species": ["Np", "Tl", "Tl", "Tl", "V", "V", "Te", "Te", "Te", "Te", "Te", "Te"], "frac_coords": [[0.000, 0.000, 0.000], [0.159, 0.841, 0.500], [0.841, 0.159, 0.500], [0.500, 0.500, 0.500], [0.332, 0.668, 0.000], [0.668, 0.332, 0.000], [0.878, 0.519, 0.809], [0.753, 0.753, 0.186], [0.122, 0.481, 0.191], [0.519, 0.878, 0.809], [0.247, 0.247, 0.814], [0.481, 0.122, 0.191]], "formation_energy_uncorrected_ev_per_atom": -0.34, "final_energy_ev_per_cell": -61.2}

{"formula": "YNp3Tl3Te8", "functional": "GGA-PBE", "state": "optimized geometry", "cell": [[8.881, 0.000, 0.000], [-4.441, 7.689, -0.029], [0.000, -5.095, 8.226]], "species": ["Y", "Np", "Np", "Np", "Tl", "Tl", "Tl", "Te", "Te", "Te", "Te", "Te", "Te", "Te", "Te"], "frac_coords": [[0.000, 0.000, 0.500], [0.500, 0.000, 0.500], [0.500, 0.500, 0.500], [0.000, 0.500, 0.500], [0.000, 0.000, 0.000], [0.000, 0.500, 0.000], [0.500, 0.500, 0.000], [0.262, 0.524, 0.286], [0.738, 0.476, 0.714], [0.762, 0.523, 0.287], [0.238, 0.477, 0.713], [0.762, 0.026, 0.287], [0.238, 0.974, 0.713], [0.264, 0.026, 0.287], [0.736, 0.974, 0.713]], "formation_energy_uncorrected_ev_per_atom": -0.70, "final_energy_ev_per_cell": -88.1}

{"formula": "Y3NpTl3Te8", "functional": "GGA-PBE", "state": "optimized geometry", "cell": [[-6.939, -2.535, -4.841], [2.676, -4.945, 6.813], [-4.500, 8.329, 2.088]], "species": ["Y", "Y", "Y", "Np", "Tl", "Tl", "Tl", "Te", "Te", "Te", "Te", "Te", "Te", "Te", "Te"], "frac_coords": [[0.500, 0.000, 0.500], [0.500, 0.500, 0.500], [0.000, 0.500, 0.500], [0.000, 0.000, 0.500], [0.000, 0.000, 0.000], [0.000, 0.500, 0.000], [0.500, 0.500, 0.000], [0.262, 0.524, 0.286], [0.738, 0.476, 0.714], [0.763, 0.527, 0.288], [0.237, 0.473, 0.712], [0.763, 0.024, 0.288], [0.237, 0.976, 0.712], [0.261, 0.024, 0.288], [0.739, 0.976, 0.712]], "formation_energy_uncorrected_ev_per_atom": -0.97, "final_energy_ev_per_cell": -79.1}

{"formula": "YNp2Tl3Te6", "functional": "GGA-PBE", "state": "optimized geometry", "cell": [[7.761, 0.000, 0.000], [-3.879, 6.722, 0.000], [-1.294, -2.241, 8.187]], "species": ["Y", "Np", "Np", "Tl", "Tl", "Tl", "Te", "Te", "Te", "Te", "Te", "Te"], "frac_coords": [[0.000, 0.000, 0.000], [0.333, 0.667, 0.000], [0.667, 0.333, 0.000], [0.167, 0.833, 0.500], [0.833, 0.167, 0.500], [0.500, 0.500, 0.500], [0.929, 0.597, 0.786], [0.740, 0.740, 0.215], [0.071, 0.403, 0.214], [0.597, 0.929, 0.786], [0.260, 0.260, 0.785], [0.403, 0.071, 0.214]], "formation_energy_uncorrected_ev_per_atom": -0.72, "final_energy_ev_per_cell": -67.0}

{"formula": "NpTl2Zn2Te4", "functional": "GGA-PBE", "state": "optimized geometry", "cell": [[-3.157, 2.736, -1.157], [-2.792, -7.502, -2.001], [-2.080, 1.069, 8.200]], "species": ["Np", "Tl", "Tl", "Zn", "Zn", "Te", "Te", "Te", "Te"], "frac_coords": [[0.000, 0.000, 0.000], [0.869, 0.739, 0.452], [0.131, 0.261, 0.548], [0.335, 0.669, 0.019], [0.665, 0.331, 0.981], [0.793, 0.586, 0.817], [0.207, 0.414, 0.183], [0.487, 0.974, 0.257], [0.513, 0.026, 0.743]], "formation_energy_uncorrected_ev_per_atom": -0.38, "final_energy_ev_per_cell": -36.2}

{"formula": "Zr3NpTl3Te8", "functional": "GGA-PBE", "state": "optimized geometry", "cell": [[-5.852, 1.190, 5.748], [2.558, -7.674, -1.779], [6.183, 5.319, 5.191]], "species": ["Zr", "Zr", "Zr", "Np", "Tl", "Tl", "Tl", "Te", "Te", "Te", "Te", "Te", "Te", "Te", "Te"], "frac_coords": [[0.500, 0.000, 0.500], [0.500, 0.500, 0.500], [0.000, 0.500, 0.500], [0.000, 0.000, 0.500], [0.000, 0.000, 0.000], [0.000, 0.500, 0.000], [0.500, 0.500, 0.000], [0.264, 0.528, 0.292], [0.736, 0.472, 0.708], [0.754, 0.509, 0.286], [0.246, 0.491, 0.714], [0.754, 0.032, 0.286], [0.246, 0.968, 0.714], [0.277, 0.032, 0.286], [0.723, 0.968, 0.714]], "formation_energy_uncorrected_ev_per_atom": -0.67, "final_energy_ev_per_cell": -80.8}

{"formula": "ZrNp3Tl3Te8", "functional": "GGA-PBE", "state": "optimized geometry", "cell": [[8.717, -0.001, -0.003], [-4.356, 7.555, -0.030], [0.000, -4.999, 8.342]], "species": ["Zr", "Np", "Np", "Np", "Tl", "Tl", "Tl", "Te", "Te", "Te", "Te", "Te", "Te", "Te", "Te"], "frac_coords": [[0.000, 0.000, 0.500], [0.500, 0.000, 0.500], [0.500, 0.500, 0.500], [0.000, 0.500, 0.500], [0.000, 0.000, 0.000], [0.000, 0.500, 0.000], [0.500, 0.500, 0.000], [0.261, 0.522, 0.283], [0.739, 0.478, 0.717], [0.771, 0.542, 0.291], [0.229, 0.458, 0.709], [0.771, 0.020, 0.291], [0.229, 0.980, 0.709], [0.249, 0.020, 0.291], [0.751, 0.980, 0.709]], "formation_energy_uncorrected_ev_per_atom": -0.61, "final_energy_ev_per_cell": -88.8}

{"formula": "TmNpTe2", "functional": "GGA-PBE", "state": "optimized geometry", "cell": [[4.128, 0.000, 0.000], [2.064, 3.575, 0.000], [2.064, 1.192, 9.815]], "species": ["Np", "Tm", "Te", "Te"], "frac_coords": [[0.500, 0.500, 0.500], [0.000, 0.000, 0.000], [0.100, 0.100, 0.699], [0.900, 0.900, 0.301]], "relative_energy_ev_per_atom": 0.399, "formation_energy_uncorrected_ev_per_atom": -0.38, "final_energy_ev_per_cell": -25.2}

{"formula": "TmNpTe6", "functional": "GGA-PBE", "state": "optimized geometry", "cell": [[-1.864, -2.151, 3.292], [2.216, -3.586, -1.087], [10.779, 4.744, 6.326]], "species": ["Tm", "Np", "Te", "Te", "Te", "Te", "Te", "Te"], "frac_coords": [[0.828, 0.000, 0.657], [0.171, 0.500, 0.342], [0.580, 0.500, 0.160], [0.420, 0.000, 0.841], [0.293, 0.500, 0.586], [0.707, 0.000, 0.413], [0.921, 0.500, 0.841], [0.080, 0.000, 0.160]], "formation_energy_uncorrected_ev_per_atom": -0.69, "final_energy_ev_per_cell": -41.8}

{"formula": "TmNpTe2", "functional": "GGA-PBE", "state": "optimized geometry", "cell": [[3.744, 0.000, 0.000], [0.000, 5.331, 0.000], [0.000, 0.000, 5.331]], "species": ["Np", "Tm", "Te", "Te"], "frac_coords": [[0.500, 0.000, 0.000], [0.500, 0.500, 0.500], [0.000, 0.000, 0.500], [0.000, 0.500, 0.000]], "relative_energy_ev_per_atom": 0.000, "formation_energy_uncorrected_ev_per_atom": -0.77, "final_energy_ev_per_cell": -26.8}

{"formula": "TmNpTe3", "functional": "GGA-PBE", "state": "optimized geometry", "cell": [[4.343, 0.000, 0.000], [0.000, 8.221, 0.000], [0.000, 0.000, 16.944]], "species": ["Tm", "Tm", "Tm", "Tm", "Np", "Np", "Np", "Np", "Te", "Te", "Te", "Te", "Te", "Te", "Te", "Te", "Te", "Te", "Te", "Te"], "frac_coords": [[0.250, 0.732, 0.542], [0.750, 0.268, 0.458], [0.750, 0.768, 0.042], [0.250, 0.232, 0.958], [0.250, 0.864, 0.295], [0.750, 0.136, 0.705], [0.750, 0.636, 0.795], [0.250, 0.364, 0.205], [0.750, 0.150, 0.282], [0.250, 0.620, 0.935], [0.250, 0.995, 0.107], [0.250, 0.495, 0.393], [0.250, 0.120, 0.565], [0.750, 0.505, 0.607], [0.250, 0.350, 0.782], [0.750, 0.005, 0.893], [0.750, 0.380, 0.065], [0.750, 0.650, 0.218], [0.750, 0.880, 0.435], [0.250, 0.850, 0.718]], "formation_energy_uncorrected_ev_per_atom": -0.99, "final_energy_ev_per_cell": -127.1}

{"formula": "Tm5Np3Te12", "functional": "GGA-PBE", "state": "optimized geometry", "cell": [[-13.597, -6.301, 4.566], [10.980, -2.887, 10.796], [-1.723, 15.480, -1.686]], "species": ["Np", "Np", "Np", "Np", "Np", "Np", "Np", "Np", "Np", "Np", "Np", "Np", "Tm", "Tm", "Tm", "Tm", "Tm", "Tm", "Tm", "Tm", "Tm", "Tm", "Tm", "Tm", "Tm", "Tm", "Tm", "Tm", "Tm", "Tm", "Tm", "Tm", "Te", "Te", "Te", "Te", "Te", "Te", "Te", "Te", "Te", "Te", "Te", "Te", "Te", "Te", "Te", "Te", "Te", "Te", "Te", "Te", "Te", "Te", "Te", "Te", "Te", "Te", "Te", "Te", "Te", "Te", "Te", "Te", "Te", "Te", "Te", "Te", "Te", "Te", "Te", "Te", "Te", "Te", "Te", "Te", "Te", "Te", "Te", "Te"], "frac_coords": [[0.750, 0.375, 0.125], [0.875, 0.750, 0.125], [0.375, 0.750, 0.625], [0.250, 0.125, 0.375], [0.875, 0.125, 0.250], [0.375, 0.625, 0.250], [0.625, 0.375, 0.750], [0.125, 0.875, 0.750], [0.750, 0.875, 0.625], [0.625, 0.250, 0.375], [0.125, 0.250, 0.875], [0.250, 0.625, 0.875], [0.125, 0.375, 0.250], [0.000, 0.500, 0.000], [0.000, 0.000, 0.000], [0.375, 0.250, 0.125], [0.500, 0.000, 0.500], [0.500, 0.500, 0.000], [0.125, 0.750, 0.375], [0.750, 0.125, 0.875], [0.750, 0.625, 0.375], [0.375, 0.125, 0.750], [0.625, 0.875, 0.250], [0.500, 0.500, 0.500], [0.500, 0.000, 0.000], [0.000, 0.000, 0.500], [0.250, 0.375, 0.625], [0.250, 0.875, 0.125], [0.000, 0.500, 0.500], [0.875, 0.250, 0.625], [0.625, 0.750, 0.875], [0.875, 0.625, 0.750], [0.722, 0.130, 0.048], [0.326, 0.548, 0.418], [0.952, 0.370, 0.278], [0.548, 0.222, 0.130], [0.592, 0.722, 0.674], [0.952, 0.582, 0.174], [0.326, 0.778, 0.408], [0.082, 0.908, 0.130], [0.582, 0.952, 0.674], [0.722, 0.592, 0.174], [0.778, 0.452, 0.370], [0.826, 0.918, 0.048], [0.130, 0.722, 0.548], [0.370, 0.418, 0.092], [0.092, 0.918, 0.370], [0.408, 0.130, 0.582], [0.092, 0.174, 0.222], [0.452, 0.674, 0.082], [0.826, 0.908, 0.278], [0.130, 0.408, 0.082], [0.370, 0.952, 0.778], [0.582, 0.630, 0.408], [0.918, 0.826, 0.548], [0.778, 0.326, 0.908], [0.418, 0.370, 0.592], [0.082, 0.174, 0.452], [0.222, 0.674, 0.092], [0.174, 0.092, 0.722], [0.630, 0.048, 0.222], [0.870, 0.592, 0.918], [0.548, 0.326, 0.918], [0.592, 0.870, 0.418], [0.908, 0.826, 0.778], [0.908, 0.082, 0.630], [0.870, 0.278, 0.452], [0.174, 0.082, 0.952], [0.630, 0.582, 0.908], [0.418, 0.048, 0.326], [0.278, 0.408, 0.826], [0.222, 0.548, 0.630], [0.918, 0.092, 0.870], [0.674, 0.222, 0.592], [0.452, 0.778, 0.870], [0.048, 0.418, 0.826], [0.408, 0.278, 0.326], [0.048, 0.630, 0.722], [0.674, 0.452, 0.582], [0.278, 0.870, 0.952]], "formation_energy_uncorrected_ev_per_atom": -0.89, "final_energy_ev_per_cell": -466.5}

{"formula": "NpUTe4", "functional": "GGA-PBE", "state": "optimized geometry", "cell": [[6.878, 0.000, 0.004], [0.000, 6.878, 0.000], [-0.004, 0.000, 7.651]], "species": ["Np", "Np", "U", "U", "Te", "Te", "Te", "Te", "Te", "Te", "Te", "Te"], "frac_coords": [[0.000, 0.000, 0.500], [0.500, 0.500, 0.500], [0.500, 0.500, 0.000], [0.000, 0.000, 0.000], [0.325, 0.825, 0.753], [0.825, 0.675, 0.753], [0.675, 0.175, 0.753], [0.825, 0.675, 0.247], [0.175, 0.325, 0.753], [0.325, 0.825, 0.247], [0.175, 0.325, 0.247], [0.675, 0.175, 0.247]], "formation_energy_uncorrected_ev_per_atom": -0.46, "final_energy_ev_per_cell": -79.1}

{"formula": "NpUTe", "functional": "GGA-PBE", "state": "optimized geometry", "cell": [[6.194, 0.000, 0.000], [0.000, 5.905, 0.000], [0.000, 0.000, 7.733]], "species": ["Np", "Np", "Np", "Np", "U", "U", "U", "U", "Te", "Te", "Te", "Te"], "frac_coords": [[0.750, 0.100, 0.610], [0.250, 0.900, 0.390], [0.750, 0.900, 0.110], [0.250, 0.100, 0.890], [0.000, 0.164, 0.250], [0.500, 0.836, 0.750], [0.000, 0.836, 0.750], [0.500, 0.164, 0.250], [0.750, 0.389, 0.934], [0.250, 0.611, 0.066], [0.750, 0.611, 0.434], [0.250, 0.389, 0.566]], "formation_energy_uncorrected_ev_per_atom": -0.03, "final_energy_ev_per_cell": -109.8}

{"formula": "NpUTe6", "functional": "GGA-PBE", "state": "optimized geometry", "cell": [[-2.756, 3.181, 1.134], [0.323, -1.229, 4.233], [11.361, 6.494, 1.018]], "species": ["Np", "U", "Te", "Te", "Te", "Te", "Te", "Te"], "frac_coords": [[0.829, 0.000, 0.659], [0.171, 0.500, 0.341], [0.580, 0.500, 0.159], [0.421, 0.000, 0.842], [0.295, 0.500, 0.589], [0.704, 0.000, 0.408], [0.921, 0.500, 0.842], [0.080, 0.000, 0.160]], "formation_energy_uncorrected_ev_per_atom": -0.53, "final_energy_ev_per_cell": -47.3}

{"formula": "Np3UTe6", "functional": "GGA-PBE", "state": "optimized geometry", "cell": [[-1.089, 4.407, 5.687], [-8.133, -1.629, -0.295], [1.511, -8.745, 6.662]], "species": ["Np", "Np", "Np", "Np", "Np", "Np", "U", "U", "Te", "Te", "Te", "Te", "Te", "Te", "Te", "Te", "Te", "Te", "Te", "Te"], "frac_coords": [[0.557, 0.869, 0.744], [0.500, 0.500, 0.000], [0.443, 0.131, 0.256], [0.057, 0.631, 0.244], [0.000, 0.000, 0.500], [0.943, 0.369, 0.756], [0.500, 0.500, 0.500], [0.000, 0.000, 0.000], [0.650, 0.173, 0.916], [0.651, 0.171, 0.574], [0.672, 0.450, 0.253], [0.328, 0.550, 0.747], [0.349, 0.829, 0.426], [0.350, 0.827, 0.084], [0.150, 0.327, 0.416], [0.151, 0.329, 0.074], [0.172, 0.050, 0.753], [0.828, 0.950, 0.247], [0.849, 0.671, 0.926], [0.850, 0.673, 0.584]], "formation_energy_uncorrected_ev_per_atom": -0.54, "final_energy_ev_per_cell": -148.6}